Version i
Compound: SrTaSb3
Source: Alexandria
Functional: PBE-GGA
Structure: relaxed

It has space group Pm-3m (No. 221), with a = 5.7122 Å, b = 5.7122 Å, c = 5.7122 Å, α = 90.00°, β = 90.00° and γ = 90.00°. The inequivalent atoms are Sr at (0.0000, 0.0000, 0.0000), Ta at (0.5000, 0.5000, 0.5000) and Sb at (0.0000, 0.0000, 0.5000).



Version ii
Compound: SrTaSb3
Source: Alexandria
Functional: PBE-GGA
Structure: relaxed

It has space group Pm-3m (No. 221), with a = 5.4368 Å, b = 5.4368 Å, c = 5.4368 Å, α = 90.00°, β = 90.00° and γ = 90.00°. The inequivalent atoms are Sr at (0.0000, 0.0000, 0.0000), Ta at (0.5000, 0.5000, 0.5000) and Sb at (0.0000, 0.5000, 0.5000).



Question: which arrangement is favored energetically? Ranking from most to least stable: version ii, version i.



Version i
Compound: SrTaSb2
Source: Alexandria
Functional: PBE-GGA
Structure: relaxed

It has space group I-4m2 (No. 119), with a = 4.4090 Å, b = 4.4090 Å, c = 10.5249 Å, α = 90.00°, β = 90.00° and γ = 90.00°. The inequivalent atoms are Sr at (0.0000, 0.0000, 0.0000), Ta at (0.0000, 0.5000, 0.7500), Sb at (0.0000, 0.0000, 0.5000) and Sb at (0.0000, 0.5000, 0.2500).



Version ii
Compound: SrTaSb2
Source: Alexandria
Functional: PBE-GGA
Structure: relaxed

It has space group P4mm (No. 99), with a = 3.1455 Å, b = 3.1455 Å, c = 11.4703 Å, α = 90.00°, β = 90.00° and γ = 90.00°. The inequivalent atoms are Sr at (0.0000, 0.0000, 0.0000), Ta at (0.5000, 0.5000, 0.2438), Sb at (0.0000, 0.0000, 0.4266) and Sb at (0.5000, 0.5000, 0.7655).



Question: which arrangement is favored energetically? Ranking from most to least stable: version i, version ii.



Version i
Compound: SrTaSb2
Source: Alexandria
Functional: PBE-GGA
Structure: relaxed

It has space group C2/m (No. 12), with a = 7.2191 Å, b = 8.2942 Å, c = 3.5104 Å, α = 90.00°, β = 103.67° and γ = 90.00°. The inequivalent atoms are Sr at (0.0000, 0.0000, 0.0000), Ta at (0.0000, 0.5000, 0.0000) and Sb at (0.2500, 0.2500, 0.5000).



Version ii
Compound: SrTaSb2
Source: Alexandria
Functional: PBE-GGA
Structure: relaxed

It has space group Immm (No. 71), with a = 4.3070 Å, b = 5.9106 Å, c = 8.4458 Å, α = 90.00°, β = 90.00° and γ = 90.00°. The inequivalent atoms are Sr at (0.0000, 0.0000, 0.0000), Ta at (0.0000, 0.0000, 0.5000) and Sb at (0.0000, 0.5000, 0.2224).



Version iii
Compound: SrTaSb2
Source: Alexandria
Functional: PBE-GGA
Structure: relaxed

It has space group F-43m (No. 216), with a = 7.4297 Å, b = 7.4297 Å, c = 7.4297 Å, α = 90.00°, β = 90.00° and γ = 90.00°. The inequivalent atoms are Sr at (0.0000, 0.0000, 0.0000), Ta at (0.2500, 0.2500, 0.2500), Sb at (0.0000, 0.0000, 0.5000) and Sb at (0.2500, 0.2500, 0.7500).



Version iv
Compound: SrTaSb2
Source: Alexandria
Functional: PBE-GGA
Structure: relaxed

It has space group R-3m (No. 166, hexagonal axes), with a = 4.1093 Å, b = 4.1093 Å, c = 23.2030 Å, α = 90.00°, β = 90.00° and γ = 120.00°. The inequivalent atoms are Sr at (0.0000, 0.0000, 0.0000), Ta at (0.0000, 0.0000, 0.5000) and Sb at (0.0000, 0.0000, 0.2356).



Question: which arrangement is favored energetically? Ranking from most to least stable: version iv, version ii, version i, version iii.



Version i
Compound: SrTaSb2
Source: Alexandria
Functional: PBE-GGA
Structure: relaxed

It has space group Imm2 (No. 44), with a = 3.7225 Å, b = 3.9053 Å, c = 15.5836 Å, α = 90.00°, β = 90.00° and γ = 90.00°. The inequivalent atoms are Sr at (0.0000, 0.0000, 0.0000), Ta at (0.0000, 0.5000, 0.7456), Sb at (0.0000, 0.0000, 0.3771) and Sb at (0.0000, 0.5000, 0.1750).



Version ii
Compound: SrTaSb2
Source: Alexandria
Functional: PBE-GGA
Structure: relaxed

It has space group P4/mmm (No. 123), with a = 5.1903 Å, b = 5.1903 Å, c = 3.7842 Å, α = 90.00°, β = 90.00° and γ = 90.00°. The inequivalent atoms are Sr at (0.0000, 0.0000, 0.0000), Ta at (0.5000, 0.5000, 0.0000) and Sb at (0.0000, 0.5000, 0.5000).



Version iii
Compound: SrTaSb2
Source: Alexandria
Functional: PBE-GGA
Structure: relaxed

It has space group Pm (No. 6), with a = 3.5075 Å, b = 5.4937 Å, c = 5.9227 Å, α = 90.00°, β = 107.11° and γ = 90.00°. The inequivalent atoms are Sr at (0.0000, 0.0000, 0.0000), Ta at (0.7172, 0.5000, 0.4391), Sb at (0.4312, 0.5000, 0.8639) and Sb at (0.7279, 0.0000, 0.4577).



Version iv
Compound: SrTaSb2
Source: Alexandria
Functional: PBE-GGA
Structure: relaxed

It has space group P4mm (No. 99), with a = 4.3094 Å, b = 4.3094 Å, c = 5.9327 Å, α = 90.00°, β = 90.00° and γ = 90.00°. The inequivalent atoms are Sr at (0.0000, 0.0000, 0.0000), Ta at (0.5000, 0.5000, 0.4991), Sb at (0.0000, 0.0000, 0.4999) and Sb at (0.5000, 0.5000, 0.9990).



Question: which arrangement is favored energetically? Ranking from most to least stable: version i, version iii, version iv, version ii.



Version i
Compound: SrTaSb2
Source: Alexandria
Functional: PBE-GGA
Structure: relaxed

It has space group P4mm (No. 99), with a = 3.7888 Å, b = 3.7888 Å, c = 7.7895 Å, α = 90.00°, β = 90.00° and γ = 90.00°. The inequivalent atoms are Sr at (0.0000, 0.0000, 0.0000), Ta at (0.5000, 0.5000, 0.3452), Sb at (0.0000, 0.0000, 0.4389) and Sb at (0.5000, 0.5000, 0.7214).



Version ii
Compound: SrTaSb2
Source: Alexandria
Functional: PBE-GGA
Structure: relaxed

It has space group Cmmm (No. 65), with a = 6.6918 Å, b = 7.9665 Å, c = 3.7866 Å, α = 90.00°, β = 90.00° and γ = 90.00°. The inequivalent atoms are Sr at (0.0000, 0.0000, 0.0000), Ta at (0.0000, 0.5000, 0.0000) and Sb at (0.2500, 0.2500, 0.5000).



Question: which arrangement is favored energetically? Ranking from most to least stable: version i, version ii.



Version i
Compound: SrTaSb2
Source: Alexandria
Functional: PBE-GGA
Structure: relaxed

It has space group I-42d (No. 122), with a = 8.0842 Å, b = 8.0842 Å, c = 7.6679 Å, α = 90.00°, β = 90.00° and γ = 90.00°. The inequivalent atoms are Sr at (0.0000, 0.0000, 0.0000), Ta at (0.0000, 0.0000, 0.5000) and Sb at (0.1949, 0.2500, 0.6250).



Version ii
Compound: SrTaSb2
Source: Alexandria
Functional: PBE-GGA
Structure: relaxed

It has space group P2/m (No. 10), with a = 3.5397 Å, b = 3.5501 Å, c = 8.0206 Å, α = 90.00°, β = 90.07° and γ = 90.00°. The inequivalent atoms are Sr at (0.0000, 0.0000, 0.0000), Ta at (0.0000, 0.0000, 0.5000) and Sb at (0.5000, 0.5000, 0.2978).



Version iii
Compound: SrTaSb2
Source: Alexandria
Functional: PBE-GGA
Structure: relaxed

It has space group Fm-3m (No. 225), with a = 7.3893 Å, b = 7.3893 Å, c = 7.3893 Å, α = 90.00°, β = 90.00° and γ = 90.00°. The inequivalent atoms are Sr at (0.0000, 0.0000, 0.0000), Ta at (0.0000, 0.0000, 0.5000) and Sb at (0.2500, 0.2500, 0.2500).



Question: which arrangement is favored energetically? Ranking from most to least stable: version ii, version i, version iii.